[1]
Density functional theory data (PBE-GGA) for crystalline NdTmZr at its relaxed geometry.

Calculated values
DFT formation energy ... 0.1262 eV/atom
Offset from the most stable computed form ... 0.029 eV per atom
Symmetry ... No. 11
Mass density ... 7.78 g cm⁻³
Electronic total energy ... -34.82 eV/cell

The structure in CIF format:
```
data_NdTmZr
_chemical_formula_sum 'Nd2 Tm2 Zr2'
_symmetry_space_group_name_H-M 'P 1'
_symmetry_Int_Tables_number 1
_symmetry_space_group_name_Hall 'P 1'
_cell_length_a 4.809
_cell_length_b 3.393
_cell_length_c 10.714
_cell_angle_alpha 99.05
_cell_angle_beta 90.00
_cell_angle_gamma 90.00
loop_
_atom_site_label
_atom_site_type_symbol
_atom_site_fract_x
_atom_site_fract_y
_atom_site_fract_z
Zr1 Zr 0.347 0.209 0.840
Tm1 Tm 0.347 0.358 0.137
Nd1 Nd 0.347 0.046 0.513
Zr2 Zr 0.847 0.781 0.983
Tm2 Tm 0.847 0.632 0.686
Nd2 Nd 0.847 0.944 0.310
```

[2]
Density functional theory data (PBE-GGA) for crystalline NdU6 at its relaxed geometry.

Calculated values
DFT formation energy ... 0.7623 eV/atom
Symmetry ... No. 229
Mass density ... 14.37 g cm⁻³
Electronic total energy ... -67.16 eV/cell

The structure in CIF format:
```
data_NdU6
_chemical_formula_sum 'Nd1 U6'
_symmetry_space_group_name_H-M 'P 1'
_symmetry_Int_Tables_number 1
_symmetry_space_group_name_Hall 'P 1'
_cell_length_a 6.180
_cell_length_b 6.180
_cell_length_c 6.180
_cell_angle_alpha 109.47
_cell_angle_beta 109.47
_cell_angle_gamma 109.47
loop_
_atom_site_label
_atom_site_type_symbol
_atom_site_fract_x
_atom_site_fract_y
_atom_site_fract_z
Nd1 Nd 0.000 0.000 0.000
U1 U 0.500 0.750 0.250
U2 U 0.250 0.750 0.500
U3 U 0.750 0.500 0.250
U4 U 0.500 0.250 0.750
U5 U 0.750 0.250 0.500
U6 U 0.250 0.500 0.750
```

[3]
Density functional theory data (PBE-GGA) for crystalline Nd4U at its relaxed geometry.

Calculated values
DFT formation energy ... 0.7196 eV/atom
Symmetry ... No. 221
Mass density ... 7.33 g cm⁻³
Electronic total energy ... -26.76 eV/cell

The structure in CIF format:
```
data_Nd4U
_chemical_formula_sum 'Nd4 U1'
_symmetry_space_group_name_H-M 'P 1'
_symmetry_Int_Tables_number 1
_symmetry_space_group_name_Hall 'P 1'
_cell_length_a 5.693
_cell_length_b 5.693
_cell_length_c 5.693
_cell_angle_alpha 90.00
_cell_angle_beta 90.00
_cell_angle_gamma 90.00
loop_
_atom_site_label
_atom_site_type_symbol
_atom_site_fract_x
_atom_site_fract_y
_atom_site_fract_z
Nd1 Nd 0.000 0.500 0.500
Nd2 Nd 0.500 0.500 0.000
U1 U 0.500 0.500 0.500
Nd3 Nd 0.500 0.000 0.500
Nd4 Nd 0.000 0.000 0.000
```